Computed, not measured: an optimized crystal structure of MoIr4 at the PBE level of DFT.

The structure in POSCAR format:
```
MoIr4
1.0
3.855 0.000 -1.126
-0.610 5.017 -2.089
0.132 0.205 7.613
Ir Mo
8 2
Cartesian
1.080 1.700 3.697
3.194 3.449 3.773
1.928 0.000 -0.563
1.623 2.509 -1.607
2.596 1.064 1.725
0.183 1.773 0.625
2.297 3.522 0.702
0.781 4.158 2.674
-0.077 4.351 -0.265
3.454 0.871 4.664
```

Results
density: 19.17 g/cm³
calculated volume: 150 Å³/cell
energy of formation: -0.123 eV per atom